1) CaHgCl2 | PBEsol | optimized geometry

a b c (Å): 3.9069 5.9172 5.9172
angles (deg): 62.68 70.72 70.72
Fractional positions:
Hg: 0.0000 0.5000 0.5000
Cl: 0.1920 0.8080 0.8080
Ca: 0.5000 0.0000 0.0000
Cl: 0.8080 0.1920 0.1920

SG: Immm (71)

---

2) CaHgCl2 | PBEsol | optimized geometry

a b c (Å): 5.0859 5.0859 5.0859
angles (deg): 60.00 60.00 60.00
Fractional positions:
Cl: 0.7500 0.7500 0.7500
Hg: 0.2500 0.2500 0.2500
Ca: 0.5000 0.5000 0.5000
Cl: 0.0000 0.0000 0.0000

SG: F-43m (216)

---

3) CaHgCl2 | PBEsol | optimized geometry

a b c (Å): 3.9992 3.9981 9.3068
angles (deg): 102.18 90.00 120.01
Fractional positions:
Cl: 0.2816 0.5633 0.3423
Hg: 0.5000 0.0000 0.0000
Cl: 0.7184 0.4367 0.6577
Ca: 0.0000 0.0000 0.5000

SG: C2/m (12)

---

3) is the most stable structure; the next one sits 0.171 eV/atom above it.

---

1) CaInCl2 | PBEsol | optimized geometry

a b c (Å): 4.1353 4.1353 6.5091
angles (deg): 108.52 108.52 90.00
Each line ends with the local moment (μB).
Fractional positions:
Cl: 0.0000 0.0000 0.0000  0.00
Cl: 0.7500 0.2500 0.5000  0.03
Ca: 0.2500 0.7500 0.5000  0.07
In: 0.5000 0.5000 0.0000  0.09

SG: I-4m2 (119)

---

2) CaInCl2 | PBEsol | optimized geometry

a b c (Å): 5.1937 5.1937 5.1937
angles (deg): 60.00 60.00 60.00
Fractional positions:
Cl: 0.2500 0.2500 0.2500
Ca: 0.5000 0.5000 0.5000
Cl: 0.0000 0.0000 0.0000
In: 0.7500 0.7500 0.7500

SG: F-43m (216)

---

1) is the most stable structure; the next one sits 0.330 eV/atom above it.

---

1) KCa2Cl | PBEsol | optimized geometry

a b c (Å): 6.1482 6.1482 6.1482
angles (deg): 60.00 60.00 60.00
Fractional positions:
Ca: 0.0000 0.0000 0.0000
Cl: 0.5000 0.5000 0.5000
Ca: 0.7500 0.7500 0.7500
K: 0.2500 0.2500 0.2500

SG: F-43m (216)

---

2) KCa2Cl | PBEsol | optimized geometry

a b c (Å): 3.7466 3.9294 10.2982
angles (deg): 100.99 90.00 90.00
Fractional positions:
Ca: 0.0000 0.9487 0.0221
Ca: 0.5000 0.5845 0.2930
Cl: 0.0000 0.6916 0.5082
K: 0.5000 0.2752 0.6767

SG: Amm2 (38)

---

3) KCa2Cl | PBEsol | optimized geometry

a b c (Å): 3.8275 3.9333 11.5035
angles (deg): 90.00 90.00 119.11
Fractional positions:
Ca: 0.0000 0.0000 0.6892
K: 0.5000 0.0000 0.0000
Ca: 0.0000 0.0000 0.3108
Cl: 0.5000 0.0000 0.5000

SG: Cmmm (65)

---

2) is the most stable structure; the next one sits 0.131 eV/atom above it.

---

1) Li2CaCl | PBEsol | optimized geometry

a b c (Å): 3.4144 5.5889 5.9262
angles (deg): 116.00 90.00 107.79
Fractional positions:
Li: 0.9302 0.8603 0.0068
Cl: 0.2831 0.5661 0.6250
Ca: 0.5558 0.1115 0.6113
Li: 0.7310 0.4620 0.2569

SG: Cm (8)

---

2) Li2CaCl | PBEsol | optimized geometry

a b c (Å): 3.5757 3.5757 8.9338
angles (deg): 90.00 90.00 117.44
Fractional positions:
Cl: 0.5000 0.5000 0.2264
Li: 0.5000 0.5000 0.7670
Ca: 0.0000 0.0000 0.4646
Li: 0.0000 0.0000 0.0419

SG: Cmm2 (35)

---

2) is the most stable structure; the next one sits 0.018 eV/atom above it.

---

1) CaMgCl2 | PBEsol | optimized geometry

a b c (Å): 3.8257 6.0739 6.0739
angles (deg): 60.82 71.64 71.64
Fractional positions:
Cl: 0.3124 0.6876 0.6876
Cl: 0.6876 0.3124 0.3124
Ca: 0.0000 0.5000 0.5000
Mg: 0.5000 0.0000 0.0000

SG: Immm (71)

---

2) CaMgCl2 | PBEsol | optimized geometry

a b c (Å): 3.7527 3.7527 9.7171
angles (deg): 78.87 78.87 60.00
Fractional positions:
Cl: 0.1196 0.1196 0.6412
Mg: 0.5000 0.5000 0.5000
Cl: 0.8804 0.8804 0.3588
Ca: 0.0000 0.0000 0.0000

SG: R-3m (166)

---

3) CaMgCl2 | PBEsol | optimized geometry

a b c (Å): 3.6610 4.2394 6.1877
angles (deg): 90.00 90.00 90.00
Fractional positions:
Mg: 0.5000 0.5000 0.0000
Ca: 0.0000 0.5000 0.5000
Cl: 0.5000 0.0000 0.5000
Cl: 0.0000 0.0000 0.0000

SG: Pmmm (47)

---

1) is the most stable structure; the next one sits 0.110 eV/atom above it.

---

1) CaOs2Cl | PBEsol | optimized geometry

a b c (Å): 3.0055 4.2434 5.7820
angles (deg): 90.00 90.00 91.53
Fractional positions:
Os: 0.6942 0.7567 0.0000
Cl: 0.5000 0.5000 0.5000
Ca: 0.0000 0.0000 0.5000
Os: 0.3058 0.2433 0.0000

SG: P2/m (10)

---

2) CaOs2Cl | PBEsol | optimized geometry

a b c (Å): 2.8504 2.8504 9.1358
angles (deg): 90.00 90.00 118.99
Fractional positions:
Cl: 0.5000 0.5000 0.0000
Os: 0.0000 0.0000 0.7690
Ca: 0.5000 0.5000 0.5000
Os: 0.0000 0.0000 0.2310

SG: Cmmm (65)

---

1) is the most stable structure; the next one sits 0.766 eV/atom above it.